Entry 1:
A relaxed structure of Y3Mg2InAgAu2. Source: OQMD via LeMat-Bulk, functional PBE.

- VASP energy (eV/atom) = -4.4577
- magnetization (μB/f.u.) = 0.0
- symmetry = Amm2 (38)

a = 4.017 Å, b = 7.717 Å, c = 7.717 Å
α = 119.38°, β = 90.00°, γ = 90.00°
Sites, in units of the cell vectors:
Y1 0.000 0.000 0.000
Y2 0.000 0.171 0.578
Y3 0.000 0.578 0.171
Mg1 0.500 0.584 0.836
Mg2 0.500 0.836 0.584
In1 0.500 0.331 0.331
Ag1 0.000 0.594 0.594
Au1 0.500 0.246 0.906
Au2 0.500 0.906 0.246

Entry 2:
A relaxed structure of PuTlIn. Source: OQMD via LeMat-Bulk, functional PBE.

- magnetization (μB/f.u.) = 5.6
- symmetry = F-43m (216)
- distance to the lowest polymorph of the same formula (eV/atom) = 0.3516

a = 6.873 Å, b = 6.873 Å, c = 6.873 Å
α = 90.00°, β = 90.00°, γ = 90.00°
Sites, in units of the cell vectors:
Pu1 0.000 0.000 0.000
Pu2 0.000 0.500 0.500
Pu3 0.500 0.000 0.500
Pu4 0.500 0.500 0.000
Tl1 0.250 0.250 0.250
Tl2 0.250 0.750 0.750
Tl3 0.750 0.250 0.750
Tl4 0.750 0.750 0.250
In1 0.250 0.250 0.750
In2 0.250 0.750 0.250
In3 0.750 0.250 0.250
In4 0.750 0.750 0.750

Entry 3:
A relaxed structure of ZrIn2C. Source: OQMD via LeMat-Bulk, functional PBE.

- VASP energy (eV/atom) = -5.0797
- magnetization (μB/f.u.) = 0.0
- symmetry = P6_3/mmc (194)

a = 3.317 Å, b = 3.317 Å, c = 15.984 Å
α = 90.00°, β = 90.00°, γ = 120.00°
Sites, in units of the cell vectors:
Zr1 0.333 0.667 0.250
Zr2 0.667 0.333 0.750
In1 0.333 0.667 0.588
In2 0.333 0.667 0.912
In3 0.667 0.333 0.088
In4 0.667 0.333 0.412
C1 0.000 0.000 0.000
C2 0.000 0.000 0.500

Entry 4:
A relaxed structure of Zr2SnB. Source: OQMD via LeMat-Bulk, functional PBE.

- VASP energy (eV/atom) = -7.5520
- magnetization (μB/f.u.) = 0.0
- symmetry = P6_3/mmc (194)

a = 3.478 Å, b = 3.478 Å, c = 14.873 Å
α = 90.00°, β = 90.00°, γ = 120.00°
Sites, in units of the cell vectors:
Zr1 0.333 0.667 0.087
Zr2 0.333 0.667 0.413
Zr3 0.667 0.333 0.587
Zr4 0.667 0.333 0.913
Sn1 0.333 0.667 0.750
Sn2 0.667 0.333 0.250
B1 0.000 0.000 0.000
B2 0.000 0.000 0.500

Entry 5:
A relaxed structure of GdReAs. Source: OQMD via LeMat-Bulk, functional PBE.

- magnetization (μB/f.u.) = 1.3
- symmetry = F-43m (216)
- distance to the lowest polymorph of the same formula (eV/atom) = 0.0000

a = 6.360 Å, b = 6.360 Å, c = 6.360 Å
α = 90.00°, β = 90.00°, γ = 90.00°
Sites, in units of the cell vectors:
Gd1 0.000 0.000 0.000
Gd2 0.000 0.500 0.500
Gd3 0.500 0.000 0.500
Gd4 0.500 0.500 0.000
Re1 0.000 0.000 0.500
Re2 0.000 0.500 0.000
Re3 0.500 0.000 0.000
Re4 0.500 0.500 0.500
As1 0.250 0.250 0.250
As2 0.250 0.750 0.750
As3 0.750 0.250 0.750
As4 0.750 0.750 0.250

Entry 6:
A relaxed structure of LiZr2CuS4. Source: OQMD via LeMat-Bulk, functional PBE.

- VASP energy (eV/atom) = -5.9087
- magnetization (μB/f.u.) = 0.1
- symmetry = I-4 (82)

a = 5.650 Å, b = 5.650 Å, c = 10.980 Å
α = 90.00°, β = 90.00°, γ = 90.00°
Sites, in units of the cell vectors:
Li1 0.000 0.000 0.000
Li2 0.500 0.500 0.500
Zr1 0.000 0.000 0.500
Zr2 0.000 0.500 0.750
Zr3 0.500 0.000 0.250
Zr4 0.500 0.500 0.000
Cu1 0.000 0.500 0.250
Cu2 0.500 0.000 0.750
S1 0.232 0.742 0.130
S2 0.242 0.268 0.370
S3 0.258 0.232 0.870
S4 0.268 0.758 0.630
S5 0.732 0.242 0.630
S6 0.742 0.768 0.870
S7 0.758 0.732 0.370
S8 0.768 0.258 0.130

Entry 7:
A relaxed structure of SrHfNp. Source: OQMD via LeMat-Bulk, functional PBE.

- magnetization (μB/f.u.) = 5.0
- symmetry = F-43m (216)
- distance to the lowest polymorph of the same formula (eV/atom) = 0.0000

a = 7.337 Å, b = 7.337 Å, c = 7.337 Å
α = 90.00°, β = 90.00°, γ = 90.00°
Sites, in units of the cell vectors:
Sr1 0.000 0.000 0.000
Sr2 0.000 0.500 0.500
Sr3 0.500 0.000 0.500
Sr4 0.500 0.500 0.000
Hf1 0.250 0.250 0.750
Hf2 0.250 0.750 0.250
Hf3 0.750 0.250 0.250
Hf4 0.750 0.750 0.750
Np1 0.000 0.000 0.500
Np2 0.000 0.500 0.000
Np3 0.500 0.000 0.000
Np4 0.500 0.500 0.500

Entry 8:
A relaxed structure of Lu4CdSiC2. Source: OQMD via LeMat-Bulk, functional PBE.

- VASP energy (eV/atom) = -5.7664
- magnetization (μB/f.u.) = 0.9
- symmetry = P-6m2 (187)

a = 3.500 Å, b = 3.500 Å, c = 15.108 Å
α = 90.00°, β = 90.00°, γ = 120.00°
Sites, in units of the cell vectors:
Lu1 0.000 0.000 0.146
Lu2 0.000 0.000 0.854
Lu3 0.667 0.333 0.319
Lu4 0.667 0.333 0.681
Cd1 0.000 0.000 0.500
Si1 0.667 0.333 0.000
C1 0.333 0.667 0.237
C2 0.333 0.667 0.763

- Which value of magnetization does entry 7 give?
  5.0 μB/f.u.

- Look up the magnetization of the eighth one.
  0.9 μB/f.u.

- magnetization of number 6 (LiZr2CuS4)?
  0.1 μB/f.u.

Please write out number 1 again, unchanged.
A relaxed structure of Y3Mg2InAgAu2. Source: OQMD via LeMat-Bulk, functional PBE.

- VASP energy (eV/atom) = -4.4577
- magnetization (μB/f.u.) = 0.0
- symmetry = Amm2 (38)

a = 4.017 Å, b = 7.717 Å, c = 7.717 Å
α = 119.38°, β = 90.00°, γ = 90.00°
Sites, in units of the cell vectors:
Y1 0.000 0.000 0.000
Y2 0.000 0.171 0.578
Y3 0.000 0.578 0.171
Mg1 0.500 0.584 0.836
Mg2 0.500 0.836 0.584
In1 0.500 0.331 0.331
Ag1 0.000 0.594 0.594
Au1 0.500 0.246 0.906
Au2 0.500 0.906 0.246